# CdAu3F PBE-GGA relaxed
# E above lowest polymorph in eV/atom: 0.3965
# Crystal system: cubic
# D(E_F) in states/eV per cell: 12.81
# Energy in Ha/atom: -0.0706
# Formation energy (no corrections) in kJ/mol of atoms: 58.1
data_CdAu3F
_cell_length_a 5.209
_cell_length_b 5.209
_cell_length_c 5.209
_cell_angle_alpha 90.00
_cell_angle_beta 90.00
_cell_angle_gamma 90.00
_symmetry_space_group_name_H-M 'P 1'
_symmetry_Int_Tables_number 1
_symmetry_space_group_name_Hall 'P 1'
loop_
_atom_site_label
_atom_site_type_symbol
_atom_site_fract_x
_atom_site_fract_y
_atom_site_fract_z
Au1 Au 0.500 0.000 0.000
Au2 Au 0.000 0.000 0.500
Au3 Au 0.000 0.500 0.000
Cd1 Cd 0.000 0.000 0.000
F1 F 0.500 0.500 0.500

# CdAu2F PBE-GGA relaxed
# E above lowest polymorph in eV/atom: 0.1388
# Crystal system: cubic
# D(E_F) in states/eV per cell: 1.55
# Energy in Ha/atom: -0.0967
# Formation energy (no corrections) in kJ/mol of atoms: -28.7
data_CdAu2F
_cell_length_a 4.623
_cell_length_b 4.623
_cell_length_c 4.623
_cell_angle_alpha 60.00
_cell_angle_beta 60.00
_cell_angle_gamma 60.00
_symmetry_space_group_name_H-M 'P 1'
_symmetry_Int_Tables_number 1
_symmetry_space_group_name_Hall 'P 1'
loop_
_atom_site_label
_atom_site_type_symbol
_atom_site_fract_x
_atom_site_fract_y
_atom_site_fract_z
Cd1 Cd 0.500 0.500 0.500
Au1 Au 0.250 0.250 0.250
Au2 Au 0.750 0.750 0.750
F1 F 0.000 0.000 0.000

# CdAu2F8 PBE-GGA relaxed
# E above lowest polymorph in eV/atom: 0.4873
# Crystal system: trigonal
# D(E_F) in states/eV per cell: 7.35
# Energy in Ha/atom: -0.1077
# Formation energy (no corrections) in kJ/mol of atoms: -86.0
data_CdAu2F8
_cell_length_a 5.621
_cell_length_b 5.902
_cell_length_c 5.902
_cell_angle_alpha 120.00
_cell_angle_beta 90.00
_cell_angle_gamma 90.00
_symmetry_space_group_name_H-M 'P 1'
_symmetry_Int_Tables_number 1
_symmetry_space_group_name_Hall 'P 1'
loop_
_atom_site_label
_atom_site_type_symbol
_atom_site_fract_x
_atom_site_fract_y
_atom_site_fract_z
Cd1 Cd 0.500 0.000 0.000
Au1 Au 0.016 0.333 0.667
Au2 Au 0.984 0.667 0.333
F1 F 0.246 0.169 0.338
F2 F 0.246 0.662 0.831
F3 F 0.667 0.333 0.667
F4 F 0.754 0.831 0.169
F5 F 0.333 0.667 0.333
F6 F 0.754 0.338 0.169
F7 F 0.246 0.169 0.831
F8 F 0.754 0.831 0.662

Question: Which of these has the lowest D(E_F)?
Answer: CdAu2F

Question: Which value of energy does entry 3 give?
Answer: -0.1077 Ha/atom

Question: The lowest energy belongs to which entry?
Answer: CdAu2F8

What did the second record say?
# CdAu2F PBE-GGA relaxed
# E above lowest polymorph in eV/atom: 0.1388
# Crystal system: cubic
# D(E_F) in states/eV per cell: 1.55
# Energy in Ha/atom: -0.0967
# Formation energy (no corrections) in kJ/mol of atoms: -28.7
data_CdAu2F
_cell_length_a 4.623
_cell_length_b 4.623
_cell_length_c 4.623
_cell_angle_alpha 60.00
_cell_angle_beta 60.00
_cell_angle_gamma 60.00
_symmetry_space_group_name_H-M 'P 1'
_symmetry_Int_Tables_number 1
_symmetry_space_group_name_Hall 'P 1'
loop_
_atom_site_label
_atom_site_type_symbol
_atom_site_fract_x
_atom_site_fract_y
_atom_site_fract_z
Cd1 Cd 0.500 0.500 0.500
Au1 Au 0.250 0.250 0.250
Au2 Au 0.750 0.750 0.750
F1 F 0.000 0.000 0.000